TlSe | PBE | optimized geometry

Lattice parameters (Å, degrees): 6.822 6.822 6.822 105.88 105.88 116.92
Atoms (fractional coordinates):
1 Tl 0.750 0.750 0.000
2 Tl 0.250 0.250 0.000
3 Tl 0.250 0.750 0.500
4 Tl 0.750 0.250 0.500
5 Se 0.678 0.178 0.856
6 Se 0.322 0.822 0.144
7 Se 0.822 0.678 0.500
8 Se 0.178 0.322 0.500

- formation energy without anion corrections (eV/f.u.) = -0.6
- crystal system = tetragonal
- E (eV per formula unit) = -6.406
- total moment (μB/cell) = 0.00